Density functional theory data (meta-GGA SCAN) for CuAgSe2 at its PBEsol-relaxed geometry.

Lattice parameters (Å, degrees): 3.5778 4.1768 10.6455 90.00 90.00 90.00
Closest atoms and distances in Å follow each position.
Space group Immm (No. 71)
Unique sites:
Cu (0.0000, 0.0000, 0.0000) (multiplicity 2)  4 Se 2.42
Ag (0.0000, 0.0000, 0.5000) (multiplicity 2)  4 Se 2.64, 4 Cu 2.75
Se (0.0000, 0.5000, 0.3476) (multiplicity 4)  2 Cu 2.42, 2 Ag 2.64

Results
ρ ... 6.875 g/cm3
Total DFT energy (no corrections) ... -21.727 eV/atom
Crystal system ... orthorhombic

---

Density functional theory data (meta-GGA SCAN) for CuAgSe2 at its PBEsol-relaxed geometry.

Lattice parameters (Å, degrees): 3.4961 3.4961 5.6862 90.00 90.00 90.00
Closest atoms and distances in Å follow each position.
Space group P4/mmm (No. 123)
Unique sites:
Cu (0.0000, 0.0000, 0.0000) (multiplicity 1)  8 Se 2.81, 2 Ag 2.84
Ag (0.0000, 0.0000, 0.5000) (multiplicity 1)  2 Cu 2.84, 8 Se 2.90
Se (0.5000, 0.5000, 0.2338) (multiplicity 2)  1 Se 2.66, 4 Cu 2.81, 4 Ag 2.90

Results
ρ ... 7.869 g/cm3
Total DFT energy (no corrections) ... -21.396 eV/atom
Crystal system ... tetragonal

---

Density functional theory data (meta-GGA SCAN) for CuAgSe2 at its PBEsol-relaxed geometry.

Lattice parameters (Å, degrees): 3.6225 3.6225 18.8372 90.00 90.00 120.00
Closest atoms and distances in Å follow each position.
Space group R-3m (No. 166, hexagonal axes)
Unique sites:
Cu (0.0000, 0.0000, 0.0000) (multiplicity 3)  6 Se 2.51
Ag (0.0000, 0.0000, 0.5000) (multiplicity 3)  6 Se 2.73
Se (0.0000, 0.0000, 0.2594) (multiplicity 6)  3 Cu 2.51, 3 Ag 2.73

Results
ρ ... 7.664 g/cm3
Total DFT energy (no corrections) ... -21.735 eV/atom
Crystal system ... trigonal